No. 1
{"formula": "AgIrSe2", "functional": "PBE", "state": "relaxed", "space_group": "Pm, No. 6", "formation_energy_uncorrected_ev_per_atom": 0.17, "cell": [[3.261, 0.000, 0.000], [0.000, 3.689, 0.000], [-0.087, 0.000, 7.357]], "species": ["Ag", "Ir", "Se", "Se"], "frac_coords": [[0.000, 0.000, 0.000], [0.506, 0.500, 0.197], [0.496, 0.500, 0.851], [0.511, 0.000, 0.407]]}

---

No. 2
{"formula": "AgIrSe2", "functional": "PBE", "state": "relaxed", "space_group": "P4mm, No. 99", "formation_energy_uncorrected_ev_per_atom": 0.19, "cell": [[3.004, 0.000, 0.000], [0.000, 3.004, 0.000], [0.000, 0.000, 8.825]], "species": ["Ag", "Ir", "Se", "Se"], "frac_coords": [[0.000, 0.000, 0.000], [0.500, 0.500, 0.242], [0.000, 0.000, 0.392], [0.500, 0.500, 0.754]]}

---

No. 3
{"formula": "AgIrSe4", "functional": "PBE", "state": "relaxed", "polymorph_energy_mev_per_atom": 1278, "space_group": "F-43m, No. 216", "formation_energy_uncorrected_ev_per_atom": 1.10, "cell": [[0.000, 3.939, 3.939], [3.939, 0.000, 3.939], [3.939, 3.939, 0.000]], "species": ["Ag", "Ir", "Se", "Se", "Se", "Se"], "frac_coords": [[0.000, 0.000, 0.000], [0.750, 0.750, 0.750], [0.376, 0.376, 0.376], [0.376, 0.376, 0.872], [0.376, 0.872, 0.376], [0.872, 0.376, 0.376]]}

---

No. 4
{"formula": "AgIr2Se", "functional": "PBE", "state": "relaxed", "space_group": "R-3m, No. 166", "formation_energy_uncorrected_ev_per_atom": 0.43, "cell": [[2.942, 0.000, 0.000], [-1.471, 2.548, 0.000], [0.000, 0.000, 25.696]], "species": ["Ag", "Ag", "Ag", "Ir", "Ir", "Ir", "Ir", "Ir", "Ir", "Se", "Se", "Se"], "frac_coords": [[0.000, 0.000, 0.000], [0.333, 0.667, 0.667], [0.667, 0.333, 0.333], [0.000, 0.000, 0.242], [0.000, 0.000, 0.758], [0.333, 0.667, 0.424], [0.333, 0.667, 0.909], [0.667, 0.333, 0.091], [0.667, 0.333, 0.576], [0.000, 0.000, 0.500], [0.333, 0.667, 0.167], [0.667, 0.333, 0.833]]}

---

No. 5
{"formula": "AgIrSe2", "functional": "PBE", "state": "relaxed", "space_group": "R3m, No. 160", "formation_energy_uncorrected_ev_per_atom": 0.17, "cell": [[3.722, 0.000, 0.000], [-1.861, 3.223, 0.000], [0.000, 0.000, 21.248]], "species": ["Ag", "Ag", "Ag", "Ir", "Ir", "Ir", "Se", "Se", "Se", "Se", "Se", "Se"], "frac_coords": [[0.000, 0.000, 0.000], [0.333, 0.667, 0.667], [0.667, 0.333, 0.333], [0.000, 0.000, 0.249], [0.333, 0.667, 0.916], [0.667, 0.333, 0.582], [0.000, 0.000, 0.532], [0.000, 0.000, 0.734], [0.333, 0.667, 0.198], [0.333, 0.667, 0.400], [0.667, 0.333, 0.067], [0.667, 0.333, 0.865]]}

---

No. 6
{"formula": "AgIr2Se", "functional": "PBE", "state": "relaxed", "space_group": "P4mm, No. 99", "formation_energy_uncorrected_ev_per_atom": 0.35, "cell": [[2.867, 0.000, 0.000], [0.000, 2.867, 0.000], [0.000, 0.000, 8.230]], "species": ["Ag", "Ir", "Ir", "Se"], "frac_coords": [[0.000, 0.000, 0.000], [0.000, 0.000, 0.467], [0.500, 0.500, 0.252], [0.500, 0.500, 0.686]]}

---

No. 7
{"formula": "AgIrSe2", "functional": "PBE", "state": "relaxed", "space_group": "P4mm, No. 99", "formation_energy_uncorrected_ev_per_atom": 0.19, "cell": [[3.565, 0.000, 0.000], [0.000, 3.565, 0.000], [0.000, 0.000, 6.633]], "species": ["Ag", "Ir", "Se", "Se"], "frac_coords": [[0.000, 0.000, 0.000], [0.500, 0.500, 0.482], [0.000, 0.000, 0.401], [0.500, 0.500, 0.841]]}

---

No. 8
{"formula": "AgIr2Se", "functional": "PBE", "state": "relaxed", "space_group": "P2/m, No. 10", "formation_energy_uncorrected_ev_per_atom": 0.48, "cell": [[2.866, 0.000, 0.000], [0.000, 4.385, 0.000], [-1.249, 0.000, 5.153]], "species": ["Ag", "Ir", "Ir", "Se"], "frac_coords": [[0.000, 0.000, 0.000], [0.375, 0.500, 0.733], [0.625, 0.500, 0.267], [0.500, 0.000, 0.500]]}

---

In order of appearance, calculated volume = 22.13, 19.91, 20.38, 16.05, 21.24, 16.91, 21.07, 16.19 Å³/atom.
In order of appearance, total moment = 0.000, 0.000, 0.726, 0.000, 0.000, 0.000, 0.000, 0.000 μB/f.u..